A plane-wave DFT calculation with PBE was carried out for an optimized crystal structure of CePuBr5.

Calculated values
distance to the lowest polymorph of the same formula	85.5	meV/atom
VASP energy	-5.67	eV per atom
total moment	1.000	μB per atom

a b c (Å): 7.8276 7.8276 10.9288
angles (deg): 69.92 69.92 71.33
With the nearest neighbours (Å) after each atom.
Element x y z (fractional)
Br (0.1274, 0.8726, 0.7500)  2 Ce 2.97, 1 Pu 3.07
Br (0.8726, 0.1274, 0.2500)  2 Ce 2.97, 1 Pu 3.07
Br (0.8076, 0.6982, 0.1445)  1 Ce 2.90, 1 Pu 2.93
Br (0.3517, 0.7198, 0.0347)  1 Ce 2.97, 1 Pu 2.98
Br (0.6483, 0.2802, 0.9653)  1 Ce 2.97, 1 Pu 2.98
Br (0.1924, 0.3018, 0.8555)  1 Ce 2.90, 1 Pu 2.93
Br (0.7198, 0.3517, 0.5347)  1 Ce 2.97, 1 Pu 2.98
Br (0.3018, 0.1924, 0.3555)  1 Ce 2.90, 1 Pu 2.93
Br (0.2802, 0.6483, 0.4653)  1 Ce 2.97, 1 Pu 2.98
Br (0.6982, 0.8076, 0.6445)  1 Ce 2.90, 1 Pu 2.93
Ce (0.0000, 0.0000, 0.0000)  6 Br 2.90-2.97
Ce (0.0000, 0.0000, 0.5000)  6 Br 2.90-2.97
Pu (0.5364, 0.4636, 0.2500)  5 Br 2.93-3.07
Pu (0.4636, 0.5364, 0.7500)  5 Br 2.93-3.07


A plane-wave DFT calculation with PBE was carried out for an optimized crystal structure of RbCe2Br7.

Calculated values
VASP energy	-4.25	eV per atom
total moment	0.200	μB per atom

a b c (Å): 5.8217 8.7656 8.7656
angles (deg): 115.80 90.00 90.00
With the nearest neighbours (Å) after each atom.
Element x y z (fractional)
Br (0.5000, 0.0509, 0.3248)  2 Ce 3.01-3.05
Br (0.5000, 0.5000, 0.5000)  2 Ce 2.95
Br (0.0000, 0.2886, 0.7114)  2 Ce 2.92
Br (0.0000, 0.7114, 0.2886)  2 Ce 2.92
Br (0.5000, 0.9491, 0.6752)  2 Ce 3.01-3.05
Br (0.5000, 0.3248, 0.0509)  2 Ce 3.01-3.05
Br (0.5000, 0.6752, 0.9491)  2 Ce 3.01-3.05
Ce (0.5000, 0.3015, 0.6985)  7 Br 2.92-3.05
Ce (0.5000, 0.6985, 0.3015)  7 Br 2.92-3.05
Rb (0.0000, 0.0000, 0.0000)  10 Br 3.96-4.29


A plane-wave DFT calculation with PBE was carried out for an optimized crystal structure of Rb2CeBr8.

Calculated values
VASP energy	-3.30	eV per atom
total moment	0.000	μB per atom

a b c (Å): 8.3020 9.6090 9.6090
angles (deg): 76.57 55.76 55.76
With the nearest neighbours (Å) after each atom.
Element x y z (fractional)
Br (0.7125, 0.2661, 0.2661)  1 Ce 2.84, 1 Br 2.96
Br (0.2065, 0.4353, 0.4353)  1 Br 2.44
Br (0.2740, 0.1378, 0.8174)  1 Ce 2.80
Br (0.2740, 0.8174, 0.1378)  1 Ce 2.80
Br (0.7935, 0.5647, 0.5647)  1 Br 2.44
Br (0.7260, 0.1826, 0.8622)  1 Ce 2.80
Br (0.2875, 0.7339, 0.7339)  1 Ce 2.84, 1 Br 2.96
Br (0.7260, 0.8622, 0.1826)  1 Ce 2.80
Rb (0.1992, 0.2110, 0.2110)  7 Br 3.43-3.75
Rb (0.8008, 0.7890, 0.7890)  7 Br 3.43-3.75
Ce (0.0000, 0.0000, 0.0000)  6 Br 2.80-2.84


A plane-wave DFT calculation with PBE was carried out for an optimized crystal structure of Rb4CeBr6.

Calculated values
VASP energy	-3.44	eV per atom
total moment	0.142	μB per atom

a b c (Å): 9.7514 9.7514 10.2613
angles (deg): 90.00 90.00 90.00
With the nearest neighbours (Å) after each atom.
Element x y z (fractional)
Rb (0.3238, 0.1762, 0.7500)  6 Br 3.62-3.66
Rb (0.1762, 0.6762, 0.2500)  6 Br 3.62-3.66
Rb (0.6762, 0.8238, 0.7500)  6 Br 3.62-3.66
Rb (0.3238, 0.1762, 0.2500)  6 Br 3.62-3.66
Rb (0.8238, 0.3238, 0.7500)  6 Br 3.62-3.66
Rb (0.1762, 0.6762, 0.7500)  6 Br 3.62-3.66
Rb (0.6762, 0.8238, 0.2500)  6 Br 3.62-3.66
Rb (0.8238, 0.3238, 0.2500)  6 Br 3.62-3.66
Br (0.0898, 0.2968, 0.5000)  1 Ce 3.02
Br (0.2968, 0.9102, 0.5000)  1 Ce 3.02
Br (0.7968, 0.5898, 0.0000)  1 Ce 3.02
Br (0.5000, 0.5000, 0.7101)  1 Ce 2.98
Br (0.5000, 0.5000, 0.2899)  1 Ce 2.98
Br (0.5898, 0.2032, 0.0000)  1 Ce 3.02
Br (0.2032, 0.4102, 0.0000)  1 Ce 3.02
Br (0.0000, 0.0000, 0.2101)  1 Ce 2.98
Br (0.9102, 0.7032, 0.5000)  1 Ce 3.02
Br (0.7032, 0.0898, 0.5000)  1 Ce 3.02
Br (0.4102, 0.7968, 0.0000)  1 Ce 3.02
Br (0.0000, 0.0000, 0.7899)  1 Ce 2.98
Ce (0.5000, 0.5000, 0.0000)  6 Br 2.98-3.02
Ce (0.0000, 0.0000, 0.5000)  6 Br 2.98-3.02


A plane-wave DFT calculation with PBE was carried out for an optimized crystal structure of Rb5Ce2Br12.

Calculated values
distance to the lowest polymorph of the same formula	0.0	meV/atom
VASP energy	-3.65	eV per atom
total moment	0.054	μB per atom

a b c (Å): 8.5761 9.9875 9.9875
angles (deg): 65.51 79.42 79.42
With the nearest neighbours (Å) after each atom.
Element x y z (fractional)
Br (0.1581, 0.9205, 0.9205)  2 Ce 3.15, 3 Br 3.36-3.48, 2 Rb 3.47-3.48
Br (0.7773, 0.8515, 0.4533)  1 Ce 2.90
Br (0.2277, 0.9013, 0.3034)  1 Ce 2.91
Br (0.7773, 0.4533, 0.8515)  1 Ce 2.90
Br (0.8340, 0.4612, 0.4612)  2 Ce 3.22, 3 Br 3.38-3.48, 2 Rb 3.47-3.58
Br (0.2227, 0.1485, 0.5467)  1 Ce 2.90
Br (0.2227, 0.5467, 0.1485)  1 Ce 2.90
Br (0.7723, 0.0987, 0.6966)  1 Ce 2.91
Br (0.8419, 0.0795, 0.0795)  2 Ce 3.15, 3 Br 3.36-3.48, 2 Rb 3.47-3.48
Br (0.1660, 0.5388, 0.5388)  2 Ce 3.22, 3 Br 3.38-3.48, 2 Rb 3.47-3.58
Br (0.2277, 0.3034, 0.9013)  1 Ce 2.91
Br (0.7723, 0.6966, 0.0987)  1 Ce 2.91
Ce (0.0000, 0.7531, 0.2469)  8 Br 2.90-3.22
Ce (0.0000, 0.2469, 0.7531)  8 Br 2.90-3.22
Rb (0.9856, 0.7520, 0.7520)  6 Br 3.45-3.58
Rb (0.5000, 0.0000, 0.0000)  6 Br 3.37-3.48
Rb (0.5109, 0.3683, 0.3683)  4 Br 3.35-3.64
Rb (0.4891, 0.6317, 0.6317)  4 Br 3.35-3.64
Rb (0.0144, 0.2480, 0.2480)  6 Br 3.45-3.58


A plane-wave DFT calculation with PBE was carried out for an optimized crystal structure of Rb3Ce2Br9.

Calculated values
VASP energy	-3.92	eV per atom
total moment	0.143	μB per atom

a b c (Å): 10.4118 10.4118 10.4118
angles (deg): 85.58 85.58 85.58
With the nearest neighbours (Å) after each atom.
Element x y z (fractional)
Br (0.9132, 0.2766, 0.0614)  1 Ce 2.84
Br (0.4386, 0.2234, 0.5868)  1 Ce 2.84
Br (0.2766, 0.0614, 0.9132)  1 Ce 2.84
Br (0.2500, 0.4058, 0.0942)  2 Ce 3.01
Br (0.7500, 0.5942, 0.9058)  2 Ce 3.01
Br (0.7766, 0.4132, 0.5614)  1 Ce 2.84
Br (0.5614, 0.7766, 0.4132)  1 Ce 2.84
Br (0.0868, 0.7234, 0.9386)  1 Ce 2.84
Br (0.0942, 0.2500, 0.4058)  2 Ce 3.01
Br (0.9386, 0.0868, 0.7234)  1 Ce 2.84
Br (0.5868, 0.4386, 0.2234)  1 Ce 2.84
Br (0.5942, 0.9058, 0.7500)  2 Ce 3.01
Br (0.7234, 0.9386, 0.0868)  1 Ce 2.84
Br (0.2234, 0.5868, 0.4386)  1 Ce 2.84
Br (0.0614, 0.9132, 0.2766)  1 Ce 2.84
Br (0.4058, 0.0942, 0.2500)  2 Ce 3.01
Br (0.4132, 0.5614, 0.7766)  1 Ce 2.84
Br (0.9058, 0.7500, 0.5942)  2 Ce 3.01
Ce (0.8557, 0.8557, 0.8557)  6 Br 2.84-3.01
Ce (0.3557, 0.3557, 0.3557)  6 Br 2.84-3.01
Ce (0.1443, 0.1443, 0.1443)  6 Br 2.84-3.01
Ce (0.6443, 0.6443, 0.6443)  6 Br 2.84-3.01
Rb (0.2500, 0.9346, 0.5654)  10 Br 3.75-4.18
Rb (0.0654, 0.4346, 0.7500)  10 Br 3.75-4.18
Rb (0.5654, 0.2500, 0.9346)  10 Br 3.75-4.18
Rb (0.9346, 0.5654, 0.2500)  10 Br 3.75-4.18
Rb (0.4346, 0.7500, 0.0654)  10 Br 3.75-4.18
Rb (0.7500, 0.0654, 0.4346)  10 Br 3.75-4.18


A plane-wave DFT calculation with PBE was carried out for an optimized crystal structure of Rb6CeBr12.

Calculated values
VASP energy	-3.14	eV per atom
total moment	0.110	μB per atom

a b c (Å): 9.6491 9.6491 9.6491
angles (deg): 97.88 97.88 97.88
With the nearest neighbours (Å) after each atom.
Element x y z (fractional)
Rb (0.6261, 0.1596, 0.2829)  7 Br 3.44-3.72
Rb (0.7171, 0.3739, 0.8404)  7 Br 3.44-3.72
Rb (0.3739, 0.8404, 0.7171)  7 Br 3.44-3.72
Rb (0.2829, 0.6261, 0.1596)  7 Br 3.44-3.72
Rb (0.1596, 0.2829, 0.6261)  7 Br 3.44-3.72
Rb (0.8404, 0.7171, 0.3739)  7 Br 3.44-3.72
Ce (0.0000, 0.0000, 0.0000)  6 Br 2.81
Br (0.5328, 0.8504, 0.4193)  1 Br 3.27, 4 Rb 3.44-3.49
Br (0.4672, 0.1496, 0.5807)  1 Br 3.27, 4 Rb 3.44-3.49
Br (0.0574, 0.2900, 0.9845)  1 Ce 2.81
Br (0.8504, 0.4193, 0.5328)  1 Br 3.27, 4 Rb 3.44-3.49
Br (0.2900, 0.9845, 0.0574)  1 Ce 2.81
Br (0.9426, 0.7100, 0.0155)  1 Ce 2.81
Br (0.1496, 0.5807, 0.4672)  1 Br 3.27, 4 Rb 3.44-3.49
Br (0.5807, 0.4672, 0.1496)  1 Br 3.27, 4 Rb 3.44-3.49
Br (0.4193, 0.5328, 0.8504)  1 Br 3.27, 4 Rb 3.44-3.49
Br (0.7100, 0.0155, 0.9426)  1 Ce 2.81
Br (0.0155, 0.9426, 0.7100)  1 Ce 2.81
Br (0.9845, 0.0574, 0.2900)  1 Ce 2.81


A plane-wave DFT calculation with PBE was carried out for an optimized crystal structure of Rb2CeBr5.

Calculated values
VASP energy	-3.86	eV per atom
total moment	0.125	μB per atom

a b c (Å): 8.8315 9.4690 14.0721
angles (deg): 90.00 90.00 90.00
With the nearest neighbours (Å) after each atom.
Element x y z (fractional)
Br (0.1641, 0.5439, 0.4280)  2 Ce 3.05
Br (0.8456, 0.7500, 0.3010)  1 Ce 2.96
Br (0.1641, 0.9561, 0.4280)  2 Ce 3.05
Br (0.3456, 0.2500, 0.1990)  1 Ce 2.96
Br (0.8359, 0.0439, 0.5720)  2 Ce 3.05
Br (0.1160, 0.7500, 0.6783)  1 Ce 2.95
Br (0.6641, 0.0439, 0.0720)  2 Ce 3.05
Br (0.3359, 0.5439, 0.9280)  2 Ce 3.05
Br (0.8840, 0.2500, 0.3217)  1 Ce 2.95
Br (0.6641, 0.4561, 0.0720)  2 Ce 3.05
Br (0.6544, 0.7500, 0.8010)  1 Ce 2.96
Br (0.8359, 0.4561, 0.5720)  2 Ce 3.05
Br (0.1544, 0.2500, 0.6990)  1 Ce 2.96
Br (0.3359, 0.9561, 0.9280)  2 Ce 3.05
Br (0.3840, 0.7500, 0.1783)  1 Ce 2.95
Br (0.9114, 0.7500, 0.0105)  1 Ce 3.00
Br (0.5886, 0.7500, 0.5105)  1 Ce 3.00
Br (0.4114, 0.2500, 0.4895)  1 Ce 3.00
Br (0.0886, 0.2500, 0.9895)  1 Ce 3.00
Br (0.6160, 0.2500, 0.8217)  1 Ce 2.95
Rb (0.0598, 0.9945, 0.1711)  8 Br 3.49-3.79
Rb (0.9402, 0.0055, 0.8289)  8 Br 3.49-3.79
Rb (0.4402, 0.5055, 0.6711)  8 Br 3.49-3.79
Rb (0.5598, 0.0055, 0.3289)  8 Br 3.49-3.79
Rb (0.5598, 0.4945, 0.3289)  8 Br 3.49-3.79
Rb (0.9402, 0.4945, 0.8289)  8 Br 3.49-3.79
Rb (0.4402, 0.9945, 0.6711)  8 Br 3.49-3.79
Rb (0.0598, 0.5055, 0.1711)  8 Br 3.49-3.79
Ce (0.5717, 0.7500, 0.0046)  7 Br 2.95-3.05
Ce (0.0717, 0.2500, 0.4954)  7 Br 2.95-3.05
Ce (0.9283, 0.7500, 0.5046)  7 Br 2.95-3.05
Ce (0.4283, 0.2500, 0.9954)  7 Br 2.95-3.05


A plane-wave DFT calculation with PBE was carried out for an optimized crystal structure of Rb4CeBr7.

Calculated values
VASP energy	-3.52	eV per atom
total moment	0.083	μB per atom

a b c (Å): 5.7916 7.7214 13.3639
angles (deg): 107.30 102.51 90.00
With the nearest neighbours (Å) after each atom.
Element x y z (fractional)
Br (0.1058, 0.2749, 0.2117)  1 Ce 2.93
Br (0.2816, 0.2611, 0.5633)  4 Rb 3.29-3.60
Br (0.8942, 0.7251, 0.7883)  1 Ce 2.93
Br (0.5000, 0.0000, 0.0000)  2 Ce 2.90
Br (0.0566, 0.7335, 0.1132)  1 Ce 2.88
Br (0.9434, 0.2665, 0.8868)  1 Ce 2.88
Br (0.7184, 0.7389, 0.4367)  4 Rb 3.29-3.60
Rb (0.5882, 0.5265, 0.1764)  5 Br 3.29-3.59
Rb (0.7116, 0.1970, 0.4231)  3 Br 3.38-3.60
Rb (0.2884, 0.8030, 0.5769)  3 Br 3.38-3.60
Rb (0.4118, 0.4735, 0.8236)  5 Br 3.29-3.59
Ce (0.0000, 0.0000, 0.0000)  6 Br 2.88-2.93


A plane-wave DFT calculation with PBE was carried out for an optimized crystal structure of RbCe4Br12.

Calculated values
VASP energy	-4.40	eV per atom
total moment	0.294	μB per atom

a b c (Å): 9.8795 9.8795 9.8795
angles (deg): 108.59 110.97 108.87
With the nearest neighbours (Å) after each atom.
Element x y z (fractional)
Br (0.3099, 0.1158, 0.8058)  2 Ce 2.95
Br (0.5635, 0.2484, 0.3151)  2 Ce 2.97
Br (0.3099, 0.5041, 0.1942)  2 Ce 2.95
Br (0.9333, 0.2484, 0.6849)  2 Ce 2.97
Br (0.8183, 0.7560, 0.5743)  2 Ce 2.97
Br (0.4365, 0.7516, 0.6849)  2 Ce 2.97
Br (0.1817, 0.7560, 0.9377)  2 Ce 2.97
Br (0.1817, 0.2440, 0.4257)  2 Ce 2.97
Br (0.6901, 0.8842, 0.1942)  2 Ce 2.95
Br (0.0667, 0.7516, 0.3151)  2 Ce 2.97
Br (0.8183, 0.2440, 0.0623)  2 Ce 2.97
Br (0.6901, 0.4959, 0.8058)  2 Ce 2.95
Rb (0.0000, 0.5000, 0.5000)  8 Br 3.56-3.59
Ce (0.0000, 0.5000, 0.0000)  6 Br 2.95-2.97
Ce (0.0000, 0.0000, 0.5000)  6 Br 2.95-2.97
Ce (0.5000, 0.5000, 0.5000)  6 Br 2.95-2.97
Ce (0.5000, 0.0000, 0.0000)  6 Br 2.95-2.97


A plane-wave DFT calculation with PBE was carried out for an optimized crystal structure of Rb5Ce2Br12.

Calculated values
distance to the lowest polymorph of the same formula	9.4	meV/atom
VASP energy	-3.64	eV per atom
total moment	0.053	μB per atom

a b c (Å): 12.5828 12.3488 10.1234
angles (deg): 55.80 90.00 120.63
With the nearest neighbours (Å) after each atom.
Element x y z (fractional)
Br (0.0963, 0.8536, 0.3548)  1 Ce 2.83
Br (0.7572, 0.8536, 0.3548)  1 Ce 2.83
Br (0.5520, 0.7503, 0.0994)  1 Ce 2.80
Br (0.8017, 0.2497, 0.9006)  1 Ce 2.80
Br (0.3605, 0.7210, 0.5976)  3 Rb 3.23-3.26
Br (0.1983, 0.7503, 0.0994)  1 Ce 2.80
Br (0.1060, 0.2119, 0.9416)  2 Ce 2.96
Br (0.4480, 0.2497, 0.9006)  1 Ce 2.80
Br (0.2428, 0.1464, 0.6452)  1 Ce 2.83
Br (0.9037, 0.1464, 0.6452)  1 Ce 2.83
Br (0.8940, 0.7881, 0.0584)  2 Ce 2.96
Br (0.6395, 0.2790, 0.4024)  3 Rb 3.23-3.26
Ce (0.8213, 0.0000, 0.0000)  6 Br 2.80-2.96
Ce (0.1787, 0.0000, 0.0000)  6 Br 2.80-2.96
Rb (0.7458, 0.4917, 0.5271)  2 Br 3.23-3.59
Rb (0.0000, 0.0000, 0.5000)  4 Br 3.48
Rb (0.4475, 0.8949, 0.7679)  4 Br 3.25-3.44
Rb (0.5525, 0.1051, 0.2321)  4 Br 3.25-3.44
Rb (0.2542, 0.5083, 0.4729)  2 Br 3.23-3.59


A plane-wave DFT calculation with PBE was carried out for an optimized crystal structure of Rb2CeBr4.

Calculated values
distance to the lowest polymorph of the same formula	0.0	meV/atom
VASP energy	-3.73	eV per atom
total moment	0.265	μB per atom

a b c (Å): 4.1951 8.3652 9.5444
angles (deg): 120.16 90.00 104.52
With the nearest neighbours (Å) after each atom.
Element x y z (fractional)
Br (0.3402, 0.6805, 0.9166)  2 Ce 3.10
Br (0.9549, 0.9097, 0.6528)  1 Ce 3.00
Br (0.0451, 0.0903, 0.3472)  1 Ce 3.00
Br (0.6598, 0.3195, 0.0834)  2 Ce 3.10
Rb (0.3567, 0.7134, 0.3069)  7 Br 3.47-3.59
Rb (0.6433, 0.2866, 0.6931)  7 Br 3.47-3.59
Ce (0.0000, 0.0000, 0.0000)  6 Br 3.00-3.10